A | A plane-wave DFT calculation with PBE was carried out for an optimized crystal structure of ZnBiI2O.

## Properties
Its space-group type is P4/mmm, No. 123. The density of states at the Fermi level is 4.16 states/eV per cell.

a = 6.2887 Å, b = 6.2887 Å, c = 4.3030 Å
α = 90.00°, β = 90.00°, γ = 90.00°
Positions (direct):
Zn (0.0000, 0.0000, 0.0000)
Bi (0.5000, 0.5000, 0.5000)
I (0.0000, 0.5000, 0.5000)
I (0.5000, 0.0000, 0.5000)
O (0.5000, 0.5000, 0.0000)

B | A plane-wave DFT calculation with PBE was carried out for an optimized crystal structure of ZnBiI2O.

## Properties
Its space-group type is P4/mmm, No. 123. The density of states at the Fermi level is 6.98 states/eV per cell.

a = 5.9345 Å, b = 5.9345 Å, c = 3.7044 Å
α = 90.00°, β = 90.00°, γ = 90.00°
Positions (direct):
Zn (0.0000, 0.0000, 0.0000)
Bi (0.5000, 0.5000, 0.5000)
I (0.0000, 0.5000, 0.0000)
I (0.5000, 0.0000, 0.0000)
O (0.0000, 0.0000, 0.5000)

Ranked by calculated energy, most stable first: B, A.

A | A plane-wave DFT calculation with PBE was carried out for an optimized crystal structure of Bi2OsI2.

## Properties
Its space-group type is I4/mmm, No. 139. The density of states at the Fermi level is 4.30 states/eV per cell.

a = 10.0766 Å, b = 10.0766 Å, c = 10.0766 Å
α = 155.70°, β = 155.70°, γ = 34.63°
Positions (direct):
Bi (0.2500, 0.7500, 0.5000)
Bi (0.7500, 0.2500, 0.5000)
Os (0.0000, 0.0000, 0.0000)
I (0.4114, 0.4114, 0.0000)
I (0.5886, 0.5886, 0.0000)

B | A plane-wave DFT calculation with PBE was carried out for an optimized crystal structure of Bi2OsI2.

## Properties
Its space-group type is P4/mbm, No. 127. The density of states at the Fermi level is 7.61 states/eV per cell.

a = 7.0685 Å, b = 7.0685 Å, c = 6.4177 Å
α = 90.00°, β = 90.00°, γ = 90.00°
Positions (direct):
Bi (0.2231, 0.2769, 0.0000)
Bi (0.2769, 0.7769, 0.0000)
Bi (0.7231, 0.2231, 0.0000)
Bi (0.7769, 0.7231, 0.0000)
Os (0.0000, 0.0000, 0.5000)
Os (0.5000, 0.5000, 0.5000)
I (0.1759, 0.3241, 0.5000)
I (0.3241, 0.8241, 0.5000)
I (0.6759, 0.1759, 0.5000)
I (0.8241, 0.6759, 0.5000)

Ranked by calculated energy, most stable first: B, A.

A | A plane-wave DFT calculation with PBE was carried out for an optimized crystal structure of Bi2OsI.

## Properties
Its space-group type is I-42d, No. 122. The density of states at the Fermi level is 1.90 states/eV per cell.

a = 8.1926 Å, b = 8.1926 Å, c = 8.1926 Å
α = 129.66°, β = 129.66°, γ = 73.95°
Positions (direct):
Bi (0.0188, 0.6250, 0.8938)
Bi (0.3750, 0.2688, 0.3938)
Bi (0.7312, 0.1250, 0.1062)
Bi (0.8750, 0.9812, 0.6062)
Os (0.0000, 0.0000, 0.0000)
Os (0.7500, 0.2500, 0.5000)
I (0.2500, 0.7500, 0.5000)
I (0.5000, 0.5000, 0.0000)

B | A plane-wave DFT calculation with PBE was carried out for an optimized crystal structure of Bi2OsI.

## Properties
Its space-group type is Fm-3m, No. 225. The density of states at the Fermi level is 4.80 states/eV per cell.

a = 5.2462 Å, b = 5.2462 Å, c = 5.2462 Å
α = 60.00°, β = 60.00°, γ = 60.00°
Positions (direct):
Bi (0.2500, 0.2500, 0.2500)
Bi (0.7500, 0.7500, 0.7500)
Os (0.0000, 0.0000, 0.0000)
I (0.5000, 0.5000, 0.5000)

Ranked by calculated energy, most stable first: A, B.

A | A plane-wave DFT calculation with PBE was carried out for an optimized crystal structure of BiOs2I.

## Properties
Its space-group type is Fm-3m, No. 225. The density of states at the Fermi level is 3.53 states/eV per cell.

a = 4.8107 Å, b = 4.8107 Å, c = 4.8107 Å
α = 60.00°, β = 60.00°, γ = 60.00°
Positions (direct):
Bi (0.0000, 0.0000, 0.0000)
Os (0.2500, 0.2500, 0.2500)
Os (0.7500, 0.7500, 0.7500)
I (0.5000, 0.5000, 0.5000)

B | A plane-wave DFT calculation with PBE was carried out for an optimized crystal structure of BiOs2I.

## Properties
Its space-group type is I-42d, No. 122. The density of states at the Fermi level is 7.01 states/eV per cell.

a = 7.4534 Å, b = 7.4534 Å, c = 7.4534 Å
α = 133.06°, β = 133.06°, γ = 68.56°
Positions (direct):
Bi (0.0000, 0.0000, 0.0000)
Bi (0.7500, 0.2500, 0.5000)
Os (0.1478, 0.6250, 0.0228)
Os (0.3750, 0.3978, 0.5228)
Os (0.6022, 0.1250, 0.9772)
Os (0.8750, 0.8522, 0.4772)
I (0.2500, 0.7500, 0.5000)
I (0.5000, 0.5000, 0.0000)

Ranked by calculated energy, most stable first: A, B.

A | A plane-wave DFT calculation with PBE was carried out for an optimized crystal structure of BiOsI3.

## Properties
Its space-group type is Pm-3m, No. 221. The density of states at the Fermi level is 7.52 states/eV per cell.

a = 6.1647 Å, b = 6.1647 Å, c = 6.1647 Å
α = 90.00°, β = 90.00°, γ = 90.00°
Positions (direct):
Bi (0.0000, 0.0000, 0.0000)
Os (0.5000, 0.5000, 0.5000)
I (0.0000, 0.0000, 0.5000)
I (0.0000, 0.5000, 0.0000)
I (0.5000, 0.0000, 0.0000)

B | A plane-wave DFT calculation with PBE was carried out for an optimized crystal structure of BiOsI3.

## Properties
Its space-group type is Pm-3m, No. 221. The density of states at the Fermi level is 4.47 states/eV per cell.

a = 5.3708 Å, b = 5.3708 Å, c = 5.3708 Å
α = 90.00°, β = 90.00°, γ = 90.00°
Positions (direct):
Bi (0.0000, 0.0000, 0.0000)
Os (0.5000, 0.5000, 0.5000)
I (0.0000, 0.5000, 0.5000)
I (0.5000, 0.0000, 0.5000)
I (0.5000, 0.5000, 0.0000)

Ranked by calculated energy, most stable first: B, A.

A | A plane-wave DFT calculation with PBE was carried out for an optimized crystal structure of BiSbOsI2.

## Properties
Its space-group type is P4/mmm, No. 123. The density of states at the Fermi level is 8.01 states/eV per cell.

a = 6.0441 Å, b = 6.0441 Å, c = 6.0091 Å
α = 90.00°, β = 90.00°, γ = 90.00°
Positions (direct):
Bi (0.0000, 0.0000, 0.0000)
Sb (0.0000, 0.0000, 0.5000)
Os (0.5000, 0.5000, 0.5000)
I (0.0000, 0.5000, 0.0000)
I (0.5000, 0.0000, 0.0000)

B | A plane-wave DFT calculation with PBE was carried out for an optimized crystal structure of BiSbOsI2.

## Properties
Its space-group type is P4/mmm, No. 123. The density of states at the Fermi level is 5.40 states/eV per cell.

a = 5.4379 Å, b = 5.4379 Å, c = 5.1340 Å
α = 90.00°, β = 90.00°, γ = 90.00°
Positions (direct):
Bi (0.0000, 0.0000, 0.0000)
Sb (0.5000, 0.5000, 0.0000)
Os (0.5000, 0.5000, 0.5000)
I (0.0000, 0.5000, 0.5000)
I (0.5000, 0.0000, 0.5000)

Ranked by calculated energy, most stable first: B, A.

A | A plane-wave DFT calculation with PBE was carried out for an optimized crystal structure of BiTeOsI2.

## Properties
Its space-group type is P4/mmm, No. 123. The density of states at the Fermi level is 6.59 states/eV per cell.

a = 6.0822 Å, b = 6.0822 Å, c = 6.0601 Å
α = 90.00°, β = 90.00°, γ = 90.00°
Positions (direct):
Bi (0.0000, 0.0000, 0.0000)
Te (0.0000, 0.0000, 0.5000)
Os (0.5000, 0.5000, 0.5000)
I (0.0000, 0.5000, 0.0000)
I (0.5000, 0.0000, 0.0000)

B | A plane-wave DFT calculation with PBE was carried out for an optimized crystal structure of BiTeOsI2.

## Properties
Its space-group type is P4/mmm, No. 123. The density of states at the Fermi level is 3.76 states/eV per cell.

a = 5.3977 Å, b = 5.3977 Å, c = 5.2128 Å
α = 90.00°, β = 90.00°, γ = 90.00°
Positions (direct):
Bi (0.0000, 0.0000, 0.0000)
Te (0.5000, 0.5000, 0.0000)
Os (0.5000, 0.5000, 0.5000)
I (0.0000, 0.5000, 0.5000)
I (0.5000, 0.0000, 0.5000)

Ranked by calculated energy, most stable first: B, A.

A | A plane-wave DFT calculation with PBE was carried out for an optimized crystal structure of Bi2PI.

## Properties
Its space-group type is Fm-3m, No. 225. The density of states at the Fermi level is 2.47 states/eV per cell.

a = 5.3759 Å, b = 5.3759 Å, c = 5.3759 Å
α = 60.00°, β = 60.00°, γ = 60.00°
Positions (direct):
Bi (0.2500, 0.2500, 0.2500)
Bi (0.7500, 0.7500, 0.7500)
P (0.0000, 0.0000, 0.0000)
I (0.5000, 0.5000, 0.5000)

B | A plane-wave DFT calculation with PBE was carried out for an optimized crystal structure of Bi2PI.

## Properties
Its space-group type is I-42d, No. 122. The density of states at the Fermi level is 3.56 states/eV per cell.

a = 8.3499 Å, b = 8.3499 Å, c = 8.3499 Å
α = 129.35°, β = 129.35°, γ = 74.44°
Positions (direct):
Bi (0.0412, 0.6250, 0.9162)
Bi (0.3750, 0.2912, 0.4162)
Bi (0.7088, 0.1250, 0.0838)
Bi (0.8750, 0.9588, 0.5838)
P (0.0000, 0.0000, 0.0000)
P (0.7500, 0.2500, 0.5000)
I (0.2500, 0.7500, 0.5000)
I (0.5000, 0.5000, 0.0000)

Ranked by calculated energy, most stable first: B, A.